# PBE-GGA NaCdSbAu, relaxed
data_NaCdSbAu
_cell_length_a 7.1567
_cell_length_b 7.1567
_cell_length_c 7.1567
_cell_angle_alpha 90.00
_cell_angle_beta 90.00
_cell_angle_gamma 90.00
_space_group_name_H-M_alt 'F -4 3 m'
_space_group_IT_number 216
_space_group_name_Hall 'F -4 2 3'
loop_
_atom_site_label
_atom_site_type_symbol
_atom_site_fract_x
_atom_site_fract_y
_atom_site_fract_z
Na1 Na 0.0000 0.0000 0.0000
Cd1 Cd 0.2500 0.2500 0.2500
Sb1 Sb 0.0000 0.0000 0.5000
Au1 Au 0.2500 0.2500 0.7500
# Energy relative to the elements, uncorrected   -0.12 eV per atom
# M_tot   0.00 μB/cell